(1)
The following is a PBEsol calculation of a geometry-optimized KTa2PC structure, from Alexandria.

a = 3.9397 Å, b = 4.7899 Å, c = 4.7899 Å
α = 90.00°, β = 90.00°, γ = 90.00°
Atoms (fractional coordinates):
P 0.0000 0.0000 0.0000
K 0.5000 0.5000 0.5000
C 0.5000 0.0000 0.0000
Ta 0.0000 0.0000 0.5000
Ta 0.0000 0.5000 0.0000

Values from the calculation:
* raw total energy: -6.562 eV/atom
* Fermi-level density of states: 3.645 states/eV/cell
* energy relative to the elements: 170.96 kJ per mole of atoms


(2)
The following is a PBEsol calculation of a geometry-optimized KPtC2 structure, from Alexandria.

a = 4.0862 Å, b = 4.0862 Å, c = 4.0862 Å
α = 60.00°, β = 60.00°, γ = 60.00°
Atoms (fractional coordinates):
K 0.0000 0.0000 0.0000
C 0.2500 0.2500 0.2500
C 0.7500 0.7500 0.7500
Pt 0.5000 0.5000 0.5000

Values from the calculation:
* raw total energy: -4.615 eV/atom
* Fermi-level density of states: 2.001 states/eV/cell
* energy relative to the elements: 215.31 kJ per mole of atoms


(3)
The following is a PBEsol calculation of a geometry-optimized KPtC3 structure, from Alexandria.

a = 4.1260 Å, b = 4.1260 Å, c = 4.1260 Å
α = 90.00°, β = 90.00°, γ = 90.00°
Last column: magnetic moment on the atom in μB.
Atoms (fractional coordinates):
K 0.5000 0.5000 0.5000  0.08
C 0.0000 0.5000 0.0000  0.71
C 0.0000 0.0000 0.5000  0.71
C 0.5000 0.0000 0.0000  0.71
Pt 0.0000 0.0000 0.0000  0.41

Values from the calculation:
* raw total energy: -5.112 eV/atom
* Fermi-level density of states: 4.015 states/eV/cell
* energy relative to the elements: 221.26 kJ per mole of atoms


(4)
The following is a PBEsol calculation of a geometry-optimized KRb2C2 structure, from Alexandria.

a = 5.6118 Å, b = 5.6118 Å, c = 6.6641 Å
α = 114.90°, β = 114.90°, γ = 90.00°
Last column: magnetic moment on the atom in μB.
Atoms (fractional coordinates):
K 0.0000 0.0000 0.0000  0.01
C 0.2500 0.7500 0.5000  1.04
C 0.7500 0.2500 0.5000  1.04
Rb 0.3359 0.3359 0.6718  0.07
Rb 0.6641 0.6641 0.3282  0.07

Values from the calculation:
* raw total energy: -2.508 eV/atom
* Fermi-level density of states: 2.182 states/eV/cell
* energy relative to the elements: 191.69 kJ per mole of atoms


> The lowest raw total energy belongs to which entry?

KTa2PC


> The highest Fermi-level density of states belongs to which entry?

KPtC3